(1)
The following is a PBE calculation of an optimized crystal structure of SrAl6CuPd, from the Alexandria database.

The raw total energy is -0.2795 Ry/atom.

It has space group Imma (No. 74), with a = 5.471 Å, b = 10.312 Å, c = 13.836 Å, α = 90.00°, β = 90.00° and γ = 90.00°. The distinct sites, in fractional coordinates, are Sr at (0.000, 0.250, 0.124), Al at (0.000, 0.250, 0.557), Al at (0.000, 0.250, 0.901), Al at (0.246, 0.036, 0.848), Cu at (0.250, 0.250, 0.750) and Pd at (0.000, 0.000, 0.500).

=====

(2)
The following is a PBE calculation of an optimized crystal structure of Sr2AlCuPd6, from the Alexandria database.

The raw total energy is -0.3471 Ry/atom.

It has space group P-1 (No. 2), with a = 5.563 Å, b = 6.655 Å, c = 6.817 Å, α = 83.07°, β = 65.96° and γ = 65.32°. The distinct sites, in fractional coordinates, are Sr at (0.034, 0.227, 0.206), Al at (0.500, 0.000, 0.500), Cu at (0.500, 0.500, 0.000), Pd at (0.005, 0.244, 0.743), Pd at (0.347, 0.403, 0.404) and Pd at (0.492, 0.756, 0.257).

=====

(3)
The following is a PBE calculation of an optimized crystal structure of SrAl4Cu2Pd, from the Alexandria database.

The raw total energy is -0.3034 Ry/atom.

It has space group R-3m (No. 166, hexagonal axes), with a = 4.2219 Å, b = 4.2219 Å, c = 29.0409 Å, α = 90.00°, β = 90.00° and γ = 120.00°. The distinct sites, in fractional coordinates, are Sr at (0.0000, 0.0000, 0.0000), Al at (0.0000, 0.0000, 0.1318), Al at (0.0000, 0.0000, 0.4106), Cu at (0.0000, 0.0000, 0.2299) and Pd at (0.0000, 0.0000, 0.5000).